The following is a SCAN calculation of TbIn4Rh at its PBEsol-relaxed geometry, from the Alexandria database.

## Properties
* M_tot: 0.000 μB per formula unit
* calculated volume: 21.865 A^3/atom
* ρ: 9.13 Mg/m³
* crystal system: orthorhombic
* E_form: -0.5327 eV per atom
* energy: -1.33079 Ha/atom

Geometry as CIF:
```
data_TbIn4Rh
_cell_length_a 4.442
_cell_length_b 16.505
_cell_length_c 7.158
_cell_angle_alpha 90.00
_cell_angle_beta 90.00
_cell_angle_gamma 90.00
_space_group_name_H-M_alt 'C m c m'
_space_group_IT_number 63
_space_group_name_Hall '-C 2c 2'
loop_
_atom_site_label
_atom_site_fract_x
_atom_site_fract_y
_atom_site_fract_z
Tb1 0.000 0.128 0.250
In1 0.000 0.064 0.750
In2 0.000 0.318 0.046
In3 0.000 0.500 0.000
Rh1 0.000 0.223 0.750
```